# HfIn3Co, optimized geometry, DFT PBE-GGA
# ΔE to the lowest computed polymorph: 856 meV per atom
# formation energy: 1.283 eV/atom
data_HfIn3Co
_chemical_formula_sum 'Hf1 In3 Co1'
_cell_length_a 5.520
_cell_length_b 5.520
_cell_length_c 5.520
_cell_angle_alpha 90.00
_cell_angle_beta 90.00
_cell_angle_gamma 90.00
_space_group_name_H-M_alt 'P m -3 m'
_space_group_IT_number 221
_space_group_name_Hall '-P 4 2 3'
loop_
_atom_site_label
_atom_site_type_symbol
_atom_site_fract_x
_atom_site_fract_y
_atom_site_fract_z
Hf1 Hf 0.000 0.000 0.000
In1 In 0.000 0.000 0.500
Co1 Co 0.500 0.500 0.500

=====

# Hf2InCo2, optimized geometry, DFT PBE-GGA
# formation energy: -0.006 eV/atom
data_Hf2InCo2
_chemical_formula_sum 'Hf4 In2 Co4'
_cell_length_a 3.287
_cell_length_b 3.287
_cell_length_c 16.972
_cell_angle_alpha 90.00
_cell_angle_beta 90.00
_cell_angle_gamma 90.00
_space_group_name_H-M_alt 'I 4/m m m'
_space_group_IT_number 139
_space_group_name_Hall '-I 4 2'
loop_
_atom_site_label
_atom_site_type_symbol
_atom_site_fract_x
_atom_site_fract_y
_atom_site_fract_z
Hf1 Hf 0.000 0.000 0.128
In1 In 0.000 0.000 0.500
Co1 Co 0.000 0.500 0.250

=====

# HfIn2Co2, optimized geometry, DFT PBE-GGA
# formation energy: -0.033 eV/atom
data_HfIn2Co2
_chemical_formula_sum 'Hf2 In4 Co4'
_cell_length_a 6.499
_cell_length_b 6.499
_cell_length_c 4.065
_cell_angle_alpha 90.00
_cell_angle_beta 90.00
_cell_angle_gamma 90.00
_space_group_name_H-M_alt 'P 4/m b m'
_space_group_IT_number 127
_space_group_name_Hall '-P 4 2ab'
loop_
_atom_site_label
_atom_site_type_symbol
_atom_site_fract_x
_atom_site_fract_y
_atom_site_fract_z
Hf1 Hf 0.000 0.000 0.000
In1 In 0.171 0.329 0.500
Co1 Co 0.128 0.628 0.000

=====

# Hf5InCo4, optimized geometry, DFT PBE-GGA
# formation energy: -0.345 eV/atom
data_Hf5InCo4
_chemical_formula_sum 'Hf5 In1 Co4'
_cell_length_a 3.133
_cell_length_b 3.133
_cell_length_c 17.155
_cell_angle_alpha 90.00
_cell_angle_beta 90.00
_cell_angle_gamma 90.00
_space_group_name_H-M_alt 'P 4/m m m'
_space_group_IT_number 123
_space_group_name_Hall '-P 4 2'
loop_
_atom_site_label
_atom_site_type_symbol
_atom_site_fract_x
_atom_site_fract_y
_atom_site_fract_z
Hf1 Hf 0.000 0.000 0.000
Hf2 Hf 0.000 0.000 0.184
Hf3 Hf 0.000 0.000 0.368
In1 In 0.500 0.500 0.500
Co1 Co 0.500 0.500 0.090
Co2 Co 0.500 0.500 0.271

=====

# Hf2In2Co, optimized geometry, DFT PBE-GGA
# ΔE to the lowest computed polymorph: 33 meV per atom
# formation energy: 0.133 eV/atom
data_Hf2In2Co
_chemical_formula_sum 'Hf4 In4 Co2'
_cell_length_a 6.572
_cell_length_b 6.572
_cell_length_c 4.985
_cell_angle_alpha 90.00
_cell_angle_beta 90.00
_cell_angle_gamma 90.00
_space_group_name_H-M_alt 'P 4/m b m'
_space_group_IT_number 127
_space_group_name_Hall '-P 4 2ab'
loop_
_atom_site_label
_atom_site_type_symbol
_atom_site_fract_x
_atom_site_fract_y
_atom_site_fract_z
Hf1 Hf 0.163 0.337 0.000
In1 In 0.160 0.660 0.500
Co1 Co 0.000 0.000 0.000

=====

# HfIn3Co, optimized geometry, DFT PBE-GGA
# ΔE to the lowest computed polymorph: 0 meV per atom
# formation energy: 0.428 eV/atom
data_HfIn3Co
_chemical_formula_sum 'Hf1 In3 Co1'
_cell_length_a 4.843
_cell_length_b 4.843
_cell_length_c 4.843
_cell_angle_alpha 90.00
_cell_angle_beta 90.00
_cell_angle_gamma 90.00
_space_group_name_H-M_alt 'P m -3 m'
_space_group_IT_number 221
_space_group_name_Hall '-P 4 2 3'
loop_
_atom_site_label
_atom_site_type_symbol
_atom_site_fract_x
_atom_site_fract_y
_atom_site_fract_z
Hf1 Hf 0.000 0.000 0.000
In1 In 0.000 0.500 0.500
Co1 Co 0.500 0.500 0.500

=====

# Hf4InCo, optimized geometry, DFT PBE-GGA
# formation energy: 0.141 eV/atom
data_Hf4InCo
_chemical_formula_sum 'Hf4 In1 Co1'
_cell_length_a 4.914
_cell_length_b 4.057
_cell_length_c 6.996
_cell_angle_alpha 90.00
_cell_angle_beta 99.63
_cell_angle_gamma 90.00
_space_group_name_H-M_alt 'P 1 2/m 1'
_space_group_IT_number 10
_space_group_name_Hall '-P 2y'
loop_
_atom_site_label
_atom_site_type_symbol
_atom_site_fract_x
_atom_site_fract_y
_atom_site_fract_z
Hf1 Hf 0.054 0.000 0.302
Hf2 Hf 0.435 0.500 0.709
In1 In 0.000 0.500 0.000
Co1 Co 0.500 0.000 0.500

=====

# Hf4In2Co, optimized geometry, DFT PBE-GGA
# formation energy: 0.159 eV/atom
data_Hf4In2Co
_chemical_formula_sum 'Hf8 In4 Co2'
_cell_length_a 4.640
_cell_length_b 4.640
_cell_length_c 15.162
_cell_angle_alpha 90.00
_cell_angle_beta 90.00
_cell_angle_gamma 90.00
_space_group_name_H-M_alt 'I 4/m m m'
_space_group_IT_number 139
_space_group_name_Hall '-I 4 2'
loop_
_atom_site_label
_atom_site_type_symbol
_atom_site_fract_x
_atom_site_fract_y
_atom_site_fract_z
Hf1 Hf 0.000 0.000 0.167
Hf2 Hf 0.000 0.500 0.000
In1 In 0.000 0.000 0.360
Co1 Co 0.000 0.000 0.000

=====

# Hf8InCo2, optimized geometry, DFT PBE-GGA
# formation energy: -0.079 eV/atom
data_Hf8InCo2
_chemical_formula_sum 'Hf16 In2 Co4'
_cell_length_a 13.944
_cell_length_b 5.761
_cell_length_c 5.630
_cell_angle_alpha 90.00
_cell_angle_beta 92.50
_cell_angle_gamma 90.00
_space_group_name_H-M_alt 'C 1 2/m 1'
_space_group_IT_number 12
_space_group_name_Hall '-C 2y'
loop_
_atom_site_label
_atom_site_type_symbol
_atom_site_fract_x
_atom_site_fract_y
_atom_site_fract_z
Hf1 Hf 0.095 0.000 0.123
Hf2 Hf 0.112 0.248 0.633
Hf3 Hf 0.214 0.500 0.115
In1 In 0.000 0.500 0.000
Co1 Co 0.236 0.000 0.409

=====

# Hf6In2Co, optimized geometry, DFT PBE-GGA
# formation energy: 0.228 eV/atom
data_Hf6In2Co
_chemical_formula_sum 'Hf12 In4 Co2'
_cell_length_a 4.919
_cell_length_b 6.311
_cell_length_c 13.706
_cell_angle_alpha 90.00
_cell_angle_beta 90.00
_cell_angle_gamma 90.00
_space_group_name_H-M_alt 'I m m m'
_space_group_IT_number 71
_space_group_name_Hall '-I 2 2'
loop_
_atom_site_label
_atom_site_type_symbol
_atom_site_fract_x
_atom_site_fract_y
_atom_site_fract_z
Hf1 Hf 0.000 0.246 0.000
Hf2 Hf 0.000 0.249 0.364
In1 In 0.000 0.500 0.183
Co1 Co 0.000 0.500 0.500

=====

# HfIn2Co, optimized geometry, DFT PBE-GGA
# formation energy: 0.199 eV/atom
data_HfIn2Co
_chemical_formula_sum 'Hf4 In8 Co4'
_cell_length_a 6.706
_cell_length_b 6.706
_cell_length_c 6.706
_cell_angle_alpha 90.00
_cell_angle_beta 90.00
_cell_angle_gamma 90.00
_space_group_name_H-M_alt 'F m -3 m'
_space_group_IT_number 225
_space_group_name_Hall '-F 4 2 3'
loop_
_atom_site_label
_atom_site_type_symbol
_atom_site_fract_x
_atom_site_fract_y
_atom_site_fract_z
Hf1 Hf 0.000 0.000 0.000
In1 In 0.250 0.250 0.250
Co1 Co 0.000 0.000 0.500

=====

# Hf2InCo2, optimized geometry, DFT PBE-GGA
# formation energy: -0.115 eV/atom
data_Hf2InCo2
_chemical_formula_sum 'Hf4 In2 Co4'
_cell_length_a 4.346
_cell_length_b 4.346
_cell_length_c 9.772
_cell_angle_alpha 90.00
_cell_angle_beta 90.00
_cell_angle_gamma 90.00
_space_group_name_H-M_alt 'I 4/m m m'
_space_group_IT_number 139
_space_group_name_Hall '-I 4 2'
loop_
_atom_site_label
_atom_site_type_symbol
_atom_site_fract_x
_atom_site_fract_y
_atom_site_fract_z
Hf1 Hf 0.000 0.500 0.250
In1 In 0.000 0.000 0.000
Co1 Co 0.000 0.000 0.388

=====

# Hf7In2Co2, optimized geometry, DFT PBE-GGA
# formation energy: 0.041 eV/atom
data_Hf7In2Co2
_chemical_formula_sum 'Hf14 In4 Co4'
_cell_length_a 7.597
_cell_length_b 10.014
_cell_length_c 6.338
_cell_angle_alpha 90.00
_cell_angle_beta 90.00
_cell_angle_gamma 90.00
_space_group_name_H-M_alt 'C m m m'
_space_group_IT_number 65
_space_group_name_Hall '-C 2 2'
loop_
_atom_site_label
_atom_site_type_symbol
_atom_site_fract_x
_atom_site_fract_y
_atom_site_fract_z
Hf1 Hf 0.000 0.000 0.000
Hf2 Hf 0.000 0.500 0.237
Hf3 Hf 0.250 0.250 0.241
In1 In 0.179 0.000 0.500
Co1 Co 0.000 0.284 0.000

=====

# Hf3InCo8, optimized geometry, DFT PBE-GGA
# formation energy: -0.297 eV/atom
data_Hf3InCo8
_chemical_formula_sum 'Hf3 In1 Co8'
_cell_length_a 4.8553
_cell_length_b 4.8553
_cell_length_c 7.9799
_cell_angle_alpha 90.00
_cell_angle_beta 90.00
_cell_angle_gamma 120.00
_space_group_name_H-M_alt 'P 3 m 1'
_space_group_IT_number 156
_space_group_name_Hall 'P 3 -2"'
loop_
_atom_site_label
_atom_site_type_symbol
_atom_site_fract_x
_atom_site_fract_y
_atom_site_fract_z
Hf1 Hf 0.0000 0.0000 0.0000
Hf2 Hf 0.0000 0.0000 0.3741
Hf3 Hf 0.3333 0.6667 0.8558
In1 In 0.3333 0.6667 0.4901
Co1 Co 0.0050 0.5025 0.1798
Co2 Co 0.3300 0.1650 0.6862
Co3 Co 0.6667 0.3333 0.4346
Co4 Co 0.6667 0.3333 0.9380

=====

# Hf11In9Co4, optimized geometry, DFT PBE-GGA
# formation energy: -0.270 eV/atom
data_Hf11In9Co4
_chemical_formula_sum 'Hf22 In18 Co8'
_cell_length_a 13.843
_cell_length_b 20.510
_cell_length_c 3.336
_cell_angle_alpha 90.00
_cell_angle_beta 90.00
_cell_angle_gamma 90.00
_space_group_name_H-M_alt 'C m m m'
_space_group_IT_number 65
_space_group_name_Hall '-C 2 2'
loop_
_atom_site_label
_atom_site_type_symbol
_atom_site_fract_x
_atom_site_fract_y
_atom_site_fract_z
Hf1 Hf 0.000 0.000 0.000
Hf2 Hf 0.000 0.150 0.000
Hf3 Hf 0.000 0.376 0.000
Hf4 Hf 0.182 0.500 0.000
Hf5 Hf 0.249 0.330 0.000
In1 In 0.000 0.500 0.500
In2 In 0.106 0.257 0.500
In3 In 0.149 0.072 0.500
Co1 Co 0.151 0.397 0.500

=====

# LaHfInCo2, optimized geometry, DFT PBE-GGA
# formation energy: 0.924 eV/atom
data_LaHfInCo2
_chemical_formula_sum 'La1 Hf1 In1 Co2'
_cell_length_a 4.687
_cell_length_b 4.687
_cell_length_c 5.716
_cell_angle_alpha 90.00
_cell_angle_beta 90.00
_cell_angle_gamma 90.00
_space_group_name_H-M_alt 'P 4/m m m'
_space_group_IT_number 123
_space_group_name_Hall '-P 4 2'
loop_
_atom_site_label
_atom_site_type_symbol
_atom_site_fract_x
_atom_site_fract_y
_atom_site_fract_z
La1 La 0.000 0.000 0.000
Hf1 Hf 0.000 0.000 0.500
In1 In 0.500 0.500 0.000
Co1 Co 0.000 0.500 0.500

=====

# LiHfInCo, optimized geometry, DFT PBE-GGA
# formation energy: -0.205 eV/atom
data_LiHfInCo
_chemical_formula_sum 'Li4 Hf4 In4 Co4'
_cell_length_a 6.324
_cell_length_b 6.324
_cell_length_c 6.324
_cell_angle_alpha 90.00
_cell_angle_beta 90.00
_cell_angle_gamma 90.00
_space_group_name_H-M_alt 'F -4 3 m'
_space_group_IT_number 216
_space_group_name_Hall 'F -4 2 3'
loop_
_atom_site_label
_atom_site_type_symbol
_atom_site_fract_x
_atom_site_fract_y
_atom_site_fract_z
Li1 Li 0.000 0.000 0.000
Hf1 Hf 0.250 0.250 0.250
In1 In 0.250 0.250 0.750
Co1 Co 0.000 0.000 0.500

=====

# HfMnInCo, optimized geometry, DFT PBE-GGA
# formation energy: -0.069 eV/atom
data_HfMnInCo
_chemical_formula_sum 'Hf4 Mn4 In4 Co4'
_cell_length_a 6.377
_cell_length_b 6.377
_cell_length_c 6.377
_cell_angle_alpha 90.00
_cell_angle_beta 90.00
_cell_angle_gamma 90.00
_space_group_name_H-M_alt 'F -4 3 m'
_space_group_IT_number 216
_space_group_name_Hall 'F -4 2 3'
loop_
_atom_site_label
_atom_site_type_symbol
_atom_site_fract_x
_atom_site_fract_y
_atom_site_fract_z
Hf1 Hf 0.000 0.000 0.000
Mn1 Mn 0.250 0.250 0.750
In1 In 0.000 0.000 0.500
Co1 Co 0.250 0.250 0.250